A plane-wave DFT calculation with PBE was carried out for a relaxed structure of La4HBr5.

a b c (Å): 3.9787 8.7564 9.3107
angles (deg): 103.41 102.34 90.00
Last column: nearest neighbours and their distance in Å.
Element x y z (fractional)
Br  0.5000  0.5000  0.0000  4 La 3.17
Br  0.8247  0.1717  0.6493  4 La 3.09-3.19
La  0.3558  0.9226  0.7116  1 H 2.55
Br  0.1670  0.3472  0.3340  3 La 3.01-3.04
H  0.5000  0.0000  0.0000  6 La 2.55-2.76
La  0.0017  0.7822  0.0034  2 H 2.76, 2 Br 3.01-3.09
Br  0.8330  0.6528  0.6660  3 La 3.01-3.04
La  0.6442  0.0774  0.2884  1 H 2.55
Br  0.1753  0.8283  0.3507  4 La 3.09-3.19
La  0.9983  0.2178  0.9966  2 H 2.76, 2 Br 3.01-3.09

Properties
Total energy, eV per atom: -4.543
Crystal system: monoclinic
Space-group type: No. 12
Total moment, Bohr magnetons per cell: 0.001
Density, g/cm3: 5.158